(1)
Entry from Alexandria via LeMat-Bulk: an optimized crystal structure of MnTlOs2 (PBE).

D(E_F)   1.061 states/eV per atom
E above lowest polymorph   0.369 eV per atom
Energy relative to the elements   0.85 eV per atom

Geometry as CIF:
```
data_MnTlOs2
_symmetry_space_group_name_H-M 'P m m m'
_symmetry_Int_Tables_number 47
_symmetry_space_group_name_Hall '-P 2 2'
_cell_length_a 2.950
_cell_length_b 4.630
_cell_length_c 4.728
_cell_angle_alpha 90.00
_cell_angle_beta 90.00
_cell_angle_gamma 90.00
loop_
_atom_site_label
_atom_site_fract_x
_atom_site_fract_y
_atom_site_fract_z
_atom_site_occupancy
Mn1 0.000 0.000 0.000 1
Tl1 0.500 0.000 0.500 1
Os1 0.000 0.500 0.500 1
Os2 0.500 0.500 0.000 1
```

---

(2)
Entry from Alexandria via LeMat-Bulk: an optimized crystal structure of KBiPd2 (PBE).

D(E_F)   0.610 states/eV per atom
E above lowest polymorph   0.039 eV per atom
Energy relative to the elements   -0.26 eV per atom

Geometry as CIF:
```
data_KBiPd2
_symmetry_space_group_name_H-M 'R -3 m'
_symmetry_Int_Tables_number 166
_symmetry_space_group_name_Hall '-R 3 2"'
_cell_length_a 4.7472
_cell_length_b 4.7472
_cell_length_c 17.6497
_cell_angle_alpha 90.00
_cell_angle_beta 90.00
_cell_angle_gamma 120.00
loop_
_atom_site_label
_atom_site_fract_x
_atom_site_fract_y
_atom_site_fract_z
_atom_site_occupancy
K1 0.0000 0.0000 0.0000 1
Bi1 0.0000 0.0000 0.5000 1
Pd1 0.0000 0.0000 0.1883 1
```

---

(3)
Entry from Alexandria via LeMat-Bulk: an optimized crystal structure of MnNbAgHg2 (PBE).

D(E_F)   0.950 states/eV per atom
Energy relative to the elements   0.76 eV per atom

Geometry as CIF:
```
data_MnNbAgHg2
_symmetry_space_group_name_H-M 'P 4/m m m'
_symmetry_Int_Tables_number 123
_symmetry_space_group_name_Hall '-P 4 2'
_cell_length_a 5.058
_cell_length_b 5.058
_cell_length_c 4.432
_cell_angle_alpha 90.00
_cell_angle_beta 90.00
_cell_angle_gamma 90.00
loop_
_atom_site_label
_atom_site_fract_x
_atom_site_fract_y
_atom_site_fract_z
_atom_site_occupancy
Mn1 0.000 0.000 0.000 1
Nb1 0.000 0.000 0.500 1
Ag1 0.500 0.500 0.500 1
Hg1 0.000 0.500 0.000 1
```

---

(4)
Entry from Alexandria via LeMat-Bulk: an optimized crystal structure of TlCd2Pt (PBE).

D(E_F)   0.340 states/eV per atom
E above lowest polymorph   0.036 eV per atom
Energy relative to the elements   -0.12 eV per atom

Geometry as CIF:
```
data_TlCd2Pt
_symmetry_space_group_name_H-M 'I m m 2'
_symmetry_Int_Tables_number 44
_symmetry_space_group_name_Hall 'I 2 -2'
_cell_length_a 3.031
_cell_length_b 4.701
_cell_length_c 13.330
_cell_angle_alpha 90.00
_cell_angle_beta 90.00
_cell_angle_gamma 90.00
loop_
_atom_site_label
_atom_site_fract_x
_atom_site_fract_y
_atom_site_fract_z
_atom_site_occupancy
Tl1 0.000 0.000 0.000 1
Cd1 0.000 0.000 0.629 1
Cd2 0.000 0.500 0.806 1
Pt1 0.000 0.500 0.308 1
```

---

(5)
Entry from Alexandria via LeMat-Bulk: an optimized crystal structure of NpTcB (PBE).

D(E_F)   1.006 states/eV per atom
E above lowest polymorph   0.000 eV per atom
Energy relative to the elements   -0.15 eV per atom

Geometry as CIF:
```
data_NpTcB
_symmetry_space_group_name_H-M 'R -3 m'
_symmetry_Int_Tables_number 166
_symmetry_space_group_name_Hall '-R 3 2"'
_cell_length_a 3.6843
_cell_length_b 3.6843
_cell_length_c 21.8279
_cell_angle_alpha 90.00
_cell_angle_beta 90.00
_cell_angle_gamma 120.00
loop_
_atom_site_label
_atom_site_fract_x
_atom_site_fract_y
_atom_site_fract_z
_atom_site_occupancy
Np1 0.0000 0.0000 0.1372 1
Tc1 0.0000 0.0000 0.2889 1
B1 0.0000 0.0000 0.3914 1
```

---

(6)
Entry from Alexandria via LeMat-Bulk: an optimized crystal structure of CaTa2As (PBE).

D(E_F)   0.977 states/eV per atom
Energy relative to the elements   0.37 eV per atom

Geometry as CIF:
```
data_CaTa2As
_symmetry_space_group_name_H-M 'R -3 m'
_symmetry_Int_Tables_number 166
_symmetry_space_group_name_Hall '-R 3 2"'
_cell_length_a 3.2895
_cell_length_b 3.2895
_cell_length_c 27.2866
_cell_angle_alpha 90.00
_cell_angle_beta 90.00
_cell_angle_gamma 120.00
loop_
_atom_site_label
_atom_site_fract_x
_atom_site_fract_y
_atom_site_fract_z
_atom_site_occupancy
Ca1 0.0000 0.0000 0.0000 1
Ta1 0.0000 0.0000 0.2326 1
As1 0.0000 0.0000 0.5000 1
```

---

(7)
Entry from Alexandria via LeMat-Bulk: an optimized crystal structure of ZrNp2UP4 (PBE).

D(E_F)   2.707 states/eV per atom
Energy relative to the elements   -1.04 eV per atom

Geometry as CIF:
```
data_ZrNp2UP4
_symmetry_space_group_name_H-M 'P 1 2/m 1'
_symmetry_Int_Tables_number 10
_symmetry_space_group_name_Hall '-P 2y'
_cell_length_a 6.718
_cell_length_b 3.907
_cell_length_c 6.731
_cell_angle_alpha 90.00
_cell_angle_beta 109.61
_cell_angle_gamma 90.00
loop_
_atom_site_label
_atom_site_fract_x
_atom_site_fract_y
_atom_site_fract_z
_atom_site_occupancy
Zr1 0.000 0.000 0.000 1
Np1 0.000 0.500 0.500 1
Np2 0.500 0.000 0.500 1
U1 0.500 0.500 0.000 1
P1 0.244 0.500 0.242 1
P2 0.245 0.000 0.756 1
```

---

(8)
Entry from Alexandria via LeMat-Bulk: an optimized crystal structure of Rb2PdO3 (PBE).

D(E_F)   0.424 states/eV per atom
ΔE_f (raw)   -0.81 eV/atom

Geometry as CIF:
```
data_Rb2PdO3
_symmetry_space_group_name_H-M 'C m c m'
_symmetry_Int_Tables_number 63
_symmetry_space_group_name_Hall '-C 2c 2'
_cell_length_a 10.539
_cell_length_b 7.225
_cell_length_c 6.007
_cell_angle_alpha 90.00
_cell_angle_beta 90.00
_cell_angle_gamma 90.00
loop_
_atom_site_label
_atom_site_fract_x
_atom_site_fract_y
_atom_site_fract_z
_atom_site_occupancy
Rb1 0.167 0.137 0.250 1
Pd1 0.000 0.460 0.750 1
O1 0.000 0.184 0.750 1
O2 0.126 0.500 0.000 1
```

---

(9)
Entry from Alexandria via LeMat-Bulk: an optimized crystal structure of TmMgNiRu (PBE).

D(E_F)   0.718 states/eV per atom
Energy relative to the elements   -0.24 eV per atom

Geometry as CIF:
```
data_TmMgNiRu
_symmetry_space_group_name_H-M 'F -4 3 m'
_symmetry_Int_Tables_number 216
_symmetry_space_group_name_Hall 'F -4 2 3'
_cell_length_a 6.441
_cell_length_b 6.441
_cell_length_c 6.441
_cell_angle_alpha 90.00
_cell_angle_beta 90.00
_cell_angle_gamma 90.00
loop_
_atom_site_label
_atom_site_fract_x
_atom_site_fract_y
_atom_site_fract_z
_atom_site_occupancy
Tm1 0.000 0.000 0.000 1
Mg1 0.000 0.000 0.500 1
Ni1 0.250 0.250 0.250 1
Ru1 0.250 0.250 0.750 1
```

---

(10)
Entry from Alexandria via LeMat-Bulk: an optimized crystal structure of PmPrAlIn (PBE).

D(E_F)   0.330 states/eV per atom
E above lowest polymorph   0.009 eV per atom
Energy relative to the elements   -0.41 eV per atom

Geometry as CIF:
```
data_PmPrAlIn
_symmetry_space_group_name_H-M 'F -4 3 m'
_symmetry_Int_Tables_number 216
_symmetry_space_group_name_Hall 'F -4 2 3'
_cell_length_a 7.616
_cell_length_b 7.616
_cell_length_c 7.616
_cell_angle_alpha 90.00
_cell_angle_beta 90.00
_cell_angle_gamma 90.00
loop_
_atom_site_label
_atom_site_fract_x
_atom_site_fract_y
_atom_site_fract_z
_atom_site_occupancy
Pm1 0.000 0.000 0.000 1
Pr1 0.000 0.000 0.500 1
Al1 0.250 0.250 0.250 1
In1 0.250 0.250 0.750 1
```

---

(11)
Entry from Alexandria via LeMat-Bulk: an optimized crystal structure of ZnPOs (PBE).

D(E_F)   0.848 states/eV per atom
Energy relative to the elements   1.01 eV per atom

Geometry as CIF:
```
data_ZnPOs
_symmetry_space_group_name_H-M 'F -4 3 m'
_symmetry_Int_Tables_number 216
_symmetry_space_group_name_Hall 'F -4 2 3'
_cell_length_a 5.761
_cell_length_b 5.761
_cell_length_c 5.761
_cell_angle_alpha 90.00
_cell_angle_beta 90.00
_cell_angle_gamma 90.00
loop_
_atom_site_label
_atom_site_fract_x
_atom_site_fract_y
_atom_site_fract_z
_atom_site_occupancy
Zn1 0.000 0.000 0.000 1
P1 0.250 0.250 0.750 1
Os1 0.250 0.250 0.250 1
```

---

(12)
Entry from Alexandria via LeMat-Bulk: an optimized crystal structure of Nd2MnGe3Pt4 (PBE).

D(E_F)   0.781 states/eV per atom
Energy relative to the elements   -0.85 eV per atom

Geometry as CIF:
```
data_Nd2MnGe3Pt4
_symmetry_space_group_name_H-M 'P -4 m 2'
_symmetry_Int_Tables_number 115
_symmetry_space_group_name_Hall 'P -4 -2'
_cell_length_a 4.345
_cell_length_b 4.345
_cell_length_c 10.245
_cell_angle_alpha 90.00
_cell_angle_beta 90.00
_cell_angle_gamma 90.00
loop_
_atom_site_label
_atom_site_fract_x
_atom_site_fract_y
_atom_site_fract_z
_atom_site_occupancy
Nd1 0.000 0.500 0.247 1
Mn1 0.500 0.500 0.000 1
Ge1 0.000 0.000 0.000 1
Ge2 0.000 0.500 0.630 1
Pt1 0.000 0.000 0.500 1
Pt2 0.000 0.500 0.868 1
Pt3 0.500 0.500 0.500 1
```